1.
## Pu2PaBi (PBE)

Data for a relaxed Pu2PaBi crystal.

Density of states at the Fermi level = 12.90 states/eV/cell
Crystal system = cubic
Total energy = -10.4093 eV/atom
ΔH_f (0 K) = 101 meV per atom

Cell: 5.2931 5.2931 5.2931 Å, 60.00 60.00 60.00°
With the nearest neighbours (Å) after each atom.
Element x y z (fractional)
Bi 0.5000 0.5000 0.5000  8 Pu 3.24
Pa 0.0000 0.0000 0.0000  8 Pu 3.24
Pu 0.7500 0.7500 0.7500  4 Bi 3.24, 4 Pa 3.24
Pu 0.2500 0.2500 0.2500  4 Bi 3.24, 4 Pa 3.24

2.
## Y3Sn2Ge (PBE)

Data for a relaxed Y3Sn2Ge crystal.

Density of states at the Fermi level = 17.61 states/eV/cell
Crystal system = orthorhombic
Total energy = -6.0228 eV/atom
ΔH_f (0 K) = -687 meV per atom

Cell: 4.3368 11.9367 12.4229 Å, 90.00 90.00 90.00°
With the nearest neighbours (Å) after each atom.
Element x y z (fractional)
Sn 0.7500 0.2958 0.4923  2 Ge 2.88, 5 Y 3.02-3.15
Ge 0.7500 0.8721 0.8735  3 Sn 2.79-2.88, 4 Y 2.94-3.03
Sn 0.2500 0.7042 0.5077  2 Ge 2.88, 5 Y 3.02-3.15
Ge 0.2500 0.3721 0.6265  3 Sn 2.79-2.88, 4 Y 2.94-3.03
Y 0.2500 0.7172 0.2389  2 Ge 2.94, 1 Sn 3.02
Y 0.7500 0.6202 0.9482  5 Sn 3.08-3.33, 1 Ge 3.15
Y 0.2500 0.1202 0.5518  5 Sn 3.08-3.33, 1 Ge 3.15
Sn 0.2500 0.9956 0.3121  1 Ge 2.79, 2 Y 3.08
Y 0.7500 0.8798 0.4482  5 Sn 3.08-3.33, 1 Ge 3.15
Y 0.7500 0.2172 0.2611  2 Ge 2.94, 1 Sn 3.02
Y 0.2500 0.3798 0.0518  5 Sn 3.08-3.33, 1 Ge 3.15
Sn 0.7500 0.0044 0.6879  1 Ge 2.79, 2 Y 3.08
Y 0.7500 0.2828 0.7611  2 Ge 2.94, 1 Sn 3.02
Sn 0.7500 0.2042 0.9923  2 Ge 2.88, 5 Y 3.02-3.15
Y 0.2500 0.4512 0.3845  3 Ge 3.03-3.15, 5 Sn 3.15-3.39
Y 0.7500 0.5488 0.6155  3 Ge 3.03-3.15, 5 Sn 3.15-3.39
Y 0.2500 0.7828 0.7389  2 Ge 2.94, 1 Sn 3.02
Sn 0.7500 0.4956 0.1879  1 Ge 2.79, 2 Y 3.08
Sn 0.2500 0.5044 0.8121  1 Ge 2.79, 2 Y 3.08
Y 0.7500 0.9512 0.1155  3 Ge 3.03-3.15, 5 Sn 3.15-3.39
Y 0.2500 0.0488 0.8845  3 Ge 3.03-3.15, 5 Sn 3.15-3.39
Ge 0.7500 0.6279 0.3735  3 Sn 2.79-2.88, 4 Y 2.94-3.03
Sn 0.2500 0.7958 0.0077  2 Ge 2.88, 5 Y 3.02-3.15
Ge 0.2500 0.1279 0.1265  3 Sn 2.79-2.88, 4 Y 2.94-3.03

3.
## MoWI2N (PBE)

Data for a relaxed MoWI2N crystal.

Density of states at the Fermi level = 2.97 states/eV/cell
Crystal system = tetragonal
Raw formation energy = 1.079 eV/atom
Total energy = -5.9627 eV/atom

Cell: 5.6802 5.6802 3.8468 Å, 90.00 90.00 90.00°
With the nearest neighbours (Å) after each atom.
Element x y z (fractional)
I 0.5000 0.0000 0.0000  2 W 2.84
Mo 0.5000 0.5000 0.5000  8 I 3.43
N 0.0000 0.0000 0.5000  2 W 1.92
W 0.0000 0.0000 0.0000  2 N 1.92
I 0.0000 0.5000 0.0000  2 W 2.84

4.
## PuMgMn4 (PBE)

Data for a relaxed PuMgMn4 crystal.

Density of states at the Fermi level = 12.81 states/eV/cell
Crystal system = cubic
Total energy = -8.5187 eV/atom
ΔH_f (0 K) = 249 meV per atom

Cell: 4.9449 4.9449 4.9449 Å, 60.00 60.00 60.00°
With the nearest neighbours (Å) after each atom.
Element x y z (fractional)
Mn 0.6245 0.6245 0.1266  6 Mn 2.46-2.48
Mg 0.2500 0.2500 0.2500  12 Mn 2.90, 4 Pu 3.03
Mn 0.6245 0.6245 0.6245  6 Mn 2.46-2.48
Pu 0.0000 0.0000 0.0000  12 Mn 2.90, 4 Mg 3.03
Mn 0.6245 0.1266 0.6245  6 Mn 2.46-2.48
Mn 0.1266 0.6245 0.6245  6 Mn 2.46-2.48

What is the density of states at the Fermi level in the second record?
17.61 states/eV/cell

Among the records above, which one has the highest density of states at the Fermi level?
Y3Sn2Ge

Which formula does entry 4 have?
PuMgMn4

Among the records above, which one has the lowest density of states at the Fermi level?
MoWI2N